# 1
First-principles (PBE) data for NaPuCd2 after structural relaxation, as listed in the Alexandria database.

## Properties
Energy relative to the lowest polymorph listed for this composition = 0.086 eV per atom
Calculated formation energy = 0.19 eV/f.u.

a = 3.2858 Å, b = 3.2858 Å, c = 33.0971 Å
α = 90.00°, β = 90.00°, γ = 120.00°
Closest atoms and distances in Å follow each position.
Space group R-3m (No. 166, hexagonal axes)
One atom of each set of equivalent atoms:
Na  0.0000  0.0000  0.0000 x3  6 Na 3.29, 6 Cd 3.34
Pu  0.0000  0.0000  0.5000 x3  6 Pu 3.29, 6 Cd 3.35
Cd  0.0000  0.0000  0.2502 x6  6 Cd 3.29, 3 Na 3.34, 3 Pu 3.35


# 2
First-principles (PBE) data for IrCl after structural relaxation, as listed in the Alexandria database.

## Properties
Formation energy from raw total energies = 0.938 eV/atom
Energy relative to the lowest polymorph listed for this composition = 0.804 eV per atom

a = 4.1793 Å, b = 4.1793 Å, c = 13.3975 Å
α = 90.00°, β = 90.00°, γ = 120.00°
Closest atoms and distances in Å follow each position.
Space group P6_3/mmc (No. 194)
One atom of each set of equivalent atoms:
Ir  0.0000  0.0000  0.2500 x2  3 Ir 2.41
Ir  0.3333  0.6667  0.2500 x2  3 Ir 2.41
Cl  0.3333  0.6667  0.6219 x4  6 Ir 2.96


# 3
First-principles (PBE) data for Na2Sr4As after structural relaxation, as listed in the Alexandria database.

## Properties
Calculated formation energy = -1.95 eV/f.u.

a = 6.0093 Å, b = 6.0093 Å, c = 18.7618 Å
α = 90.00°, β = 90.00°, γ = 90.00°
Closest atoms and distances in Å follow each position.
Space group I4/mmm (No. 139)
One atom of each set of equivalent atoms:
Na  0.0000  0.0000  0.1355 x4  5 Sr 3.71-3.94
Sr  0.0000  0.0000  0.3331 x4  1 As 3.13
Sr  0.0000  0.5000  0.0000 x4  2 As 3.00
As  0.0000  0.0000  0.5000 x2  6 Sr 3.00-3.13


# 4
First-principles (PBE) data for BaMg6Ni after structural relaxation, as listed in the Alexandria database.

## Properties
Energy relative to the lowest polymorph listed for this composition = 0.000 eV per atom
Calculated formation energy = 0.68 eV/f.u.

a = 4.5228 Å, b = 6.3112 Å, c = 14.6664 Å
α = 90.00°, β = 90.00°, γ = 90.00°
Closest atoms and distances in Å follow each position.
Space group Amm2 (No. 38)
One atom of each set of equivalent atoms:
Ba  0.0000  0.0000  0.0000 x2  8 Mg 3.36-3.73, 2 Ni 3.47
Mg  0.0000  0.0000  0.4065 x2  6 Mg 3.01-3.33
Mg  0.0000  0.2415  0.2044 x4  2 Ni 2.75, 3 Mg 2.89-3.05
Mg  0.5000  0.0000  0.5924 x2  6 Mg 3.24-3.54, 2 Ni 3.40
Mg  0.5000  0.2442  0.8272 x4  1 Ni 2.70, 4 Mg 2.89-3.01
Ni  0.5000  0.0000  0.1794 x2  6 Mg 2.70-2.75


Number 1: energy -4.322 eV/atom. Number 2: energy -4.416 eV/atom. Number 3: energy -2.281 eV/atom. Number 4: energy -2.074 eV/atom.